[1]
# La2YTe | the Alexandria database | meta-GGA SCAN | single point on PBEsol structure
data_La2YTe
_chemical_formula_sum 'La4 Y2 Te2'
_cell_length_a 12.354
_cell_length_b 3.770
_cell_length_c 5.351
_cell_angle_alpha 90.00
_cell_angle_beta 103.67
_cell_angle_gamma 90.00
_symmetry_space_group_name_H-M 'C 1 2/m 1'
_symmetry_Int_Tables_number 12
_symmetry_space_group_name_Hall '-C 2y'
loop_
_atom_site_label
_atom_site_fract_x
_atom_site_fract_y
_atom_site_fract_z
_atom_site_occupancy
La1 0.221 0.000 0.214 1
Y1 0.000 0.000 0.500 1
Te1 0.000 0.500 0.000 1
# total magnetization: 0.00 Bohr magnetons per cell
# D(E_F): 0.873 states/eV/atom
# uncorrected formation energy: -0.581 eV per atom
# crystal system: monoclinic

[2]
# YGa2Pd2 | the Alexandria database | meta-GGA SCAN | single point on PBEsol structure
data_YGa2Pd2
_chemical_formula_sum 'Y2 Ga4 Pd4'
_cell_length_a 4.008
_cell_length_b 4.008
_cell_length_c 11.283
_cell_angle_alpha 90.00
_cell_angle_beta 90.00
_cell_angle_gamma 90.00
_symmetry_space_group_name_H-M 'I 4/m m m'
_symmetry_Int_Tables_number 139
_symmetry_space_group_name_Hall '-I 4 2'
loop_
_atom_site_label
_atom_site_fract_x
_atom_site_fract_y
_atom_site_fract_z
_atom_site_occupancy
Y1 0.000 0.000 0.000 1
Ga1 0.000 0.500 0.250 1
Pd1 0.000 0.000 0.384 1
# total magnetization: 0.00 Bohr magnetons per cell
# D(E_F): 0.536 states/eV/atom
# calculated formation energy: -4.1 eV per formula unit
# crystal system: tetragonal

[3]
# Nb3S4 | the Alexandria database | meta-GGA SCAN | single point on PBEsol structure
data_Nb3S4
_chemical_formula_sum 'Nb3 S4'
_cell_length_a 3.2729
_cell_length_b 3.2729
_cell_length_c 12.6753
_cell_angle_alpha 90.00
_cell_angle_beta 90.00
_cell_angle_gamma 120.00
_symmetry_space_group_name_H-M 'P -3 m 1'
_symmetry_Int_Tables_number 164
_symmetry_space_group_name_Hall '-P 3 2"'
loop_
_atom_site_label
_atom_site_fract_x
_atom_site_fract_y
_atom_site_fract_z
_atom_site_occupancy
Nb1 0.0000 0.0000 0.0000 1
Nb2 0.0000 0.0000 0.2607 1
S1 0.3333 0.6667 0.6150 1
S2 0.3333 0.6667 0.8682 1
# total magnetization: 0.00 Bohr magnetons per cell
# D(E_F): 0.361 states/eV/atom
# energy relative to the lowest polymorph listed for this composition: 80 meV per atom
# uncorrected formation energy: -1.152 eV per atom
# crystal system: trigonal

[4]
# YTl2P | the Alexandria database | meta-GGA SCAN | single point on PBEsol structure
data_YTl2P
_chemical_formula_sum 'Y3 Tl6 P3'
_cell_length_a 3.9338
_cell_length_b 3.9338
_cell_length_c 24.0138
_cell_angle_alpha 90.00
_cell_angle_beta 90.00
_cell_angle_gamma 120.00
_symmetry_space_group_name_H-M 'R 3 m'
_symmetry_Int_Tables_number 160
_symmetry_space_group_name_Hall 'R 3 -2"'
loop_
_atom_site_label
_atom_site_fract_x
_atom_site_fract_y
_atom_site_fract_z
_atom_site_occupancy
Y1 0.0000 0.0000 0.0000 1
Tl1 0.0000 0.0000 0.5327 1
Tl2 0.0000 0.0000 0.7660 1
P1 0.0000 0.0000 0.2750 1
# total magnetization: 0.00 Bohr magnetons per cell
# D(E_F): 0.626 states/eV/atom
# energy relative to the lowest polymorph listed for this composition: 181 meV per atom
# calculated formation energy: -1.8 eV per formula unit
# crystal system: trigonal

[5]
# CaY4Tc | the Alexandria database | meta-GGA SCAN | single point on PBEsol structure
data_CaY4Tc
_chemical_formula_sum 'Ca4 Y16 Tc4'
_cell_length_a 8.773
_cell_length_b 8.773
_cell_length_c 8.773
_cell_angle_alpha 90.00
_cell_angle_beta 90.00
_cell_angle_gamma 90.00
_symmetry_space_group_name_H-M 'F -4 3 m'
_symmetry_Int_Tables_number 216
_symmetry_space_group_name_Hall 'F -4 2 3'
loop_
_atom_site_label
_atom_site_fract_x
_atom_site_fract_y
_atom_site_fract_z
_atom_site_occupancy
Ca1 0.000 0.000 0.000 1
Y1 0.123 0.123 0.377 1
Tc1 0.250 0.250 0.750 1
# total magnetization: 13.18 Bohr magnetons per cell
# D(E_F): 1.262 states/eV/atom
# calculated formation energy: 4.7 eV per formula unit
# crystal system: cubic

[6]
# LiAu3I | the Alexandria database | meta-GGA SCAN | single point on PBEsol structure
data_LiAu3I
_chemical_formula_sum 'Li1 Au3 I1'
_cell_length_a 5.319
_cell_length_b 5.319
_cell_length_c 5.319
_cell_angle_alpha 90.00
_cell_angle_beta 90.00
_cell_angle_gamma 90.00
_symmetry_space_group_name_H-M 'P m -3 m'
_symmetry_Int_Tables_number 221
_symmetry_space_group_name_Hall '-P 4 2 3'
loop_
_atom_site_label
_atom_site_fract_x
_atom_site_fract_y
_atom_site_fract_z
_atom_site_occupancy
Li1 0.000 0.000 0.000 1
Au1 0.000 0.500 0.500 1
I1 0.500 0.500 0.500 1
# total magnetization: 0.00 Bohr magnetons per cell
# D(E_F): 0.540 states/eV/atom
# uncorrected formation energy: 0.604 eV per atom
# crystal system: cubic